Record 1
## La6Sm12Tl (PBE)

Data for a relaxed La6Sm12Tl crystal.

a b c (Å): 8.6840 8.6840 8.6840
angles (deg): 89.30 89.30 89.30
Closest atoms and distances in Å follow each position.
Fractional coordinates of all 19 atoms:
La1 0.2010 0.5928 0.7647  7 Sm 3.40-3.72, 1 Tl 3.54, 2 La 3.58
La2 0.2353 0.7990 0.4072  7 Sm 3.40-3.72, 1 Tl 3.54, 2 La 3.58
La3 0.4072 0.2353 0.7990  7 Sm 3.40-3.72, 1 Tl 3.54, 2 La 3.58
La4 0.5928 0.7647 0.2010  7 Sm 3.40-3.72, 1 Tl 3.54, 2 La 3.58
La5 0.7647 0.2010 0.5928  7 Sm 3.40-3.72, 1 Tl 3.54, 2 La 3.58
La6 0.7990 0.4072 0.2353  7 Sm 3.40-3.72, 1 Tl 3.54, 2 La 3.58
Sm1 0.0339 0.2808 0.9349  3 Sm 3.34-3.58, 3 La 3.40-3.47
Sm2 0.0651 0.9661 0.7192  3 Sm 3.34-3.58, 3 La 3.40-3.47
Sm3 0.1382 0.3246 0.4812  4 La 3.46-3.72, 1 Tl 3.52, 5 Sm 3.58-3.87
Sm4 0.2808 0.9349 0.0339  3 Sm 3.34-3.58, 3 La 3.40-3.47
Sm5 0.3246 0.4812 0.1382  4 La 3.46-3.72, 1 Tl 3.52, 5 Sm 3.58-3.87
Sm6 0.4812 0.1382 0.3246  4 La 3.46-3.72, 1 Tl 3.52, 5 Sm 3.58-3.87
Sm7 0.5188 0.8618 0.6754  4 La 3.46-3.72, 1 Tl 3.52, 5 Sm 3.58-3.87
Sm8 0.6754 0.5188 0.8618  4 La 3.46-3.72, 1 Tl 3.52, 5 Sm 3.58-3.87
Sm9 0.7192 0.0651 0.9661  3 Sm 3.34-3.58, 3 La 3.40-3.47
Sm10 0.8618 0.6754 0.5188  4 La 3.46-3.72, 1 Tl 3.52, 5 Sm 3.58-3.87
Sm11 0.9349 0.0339 0.2808  3 Sm 3.34-3.58, 3 La 3.40-3.47
Sm12 0.9661 0.7192 0.0651  3 Sm 3.34-3.58, 3 La 3.40-3.47
Tl1 0.5000 0.5000 0.5000  6 Sm 3.52, 6 La 3.54

Values from the calculation:
SG: R-3
Magnetization in Bohr magnetons per cell: 0.0
Formation energy in eV/atom: 0.06



Record 2
## GaBRh3 (PBE)

Data for a relaxed GaBRh3 crystal.

a b c (Å): 5.6673 5.6673 4.7551
angles (deg): 90.00 90.00 120.00
Closest atoms and distances in Å follow each position.
Fractional coordinates of all 10 atoms:
Ga1 0.3333 0.6667 0.2500  12 Rh 2.83-2.85
Ga2 0.6667 0.3333 0.7500  12 Rh 2.83-2.85
B1 0.0000 0.0000 0.0000  6 Rh 2.08
B2 0.0000 0.0000 0.5000  6 Rh 2.08
Rh1 0.1735 0.3470 0.7500  2 B 2.08
Rh2 0.1735 0.8265 0.7500  2 B 2.08
Rh3 0.3470 0.1735 0.2500  2 B 2.08
Rh4 0.6530 0.8265 0.7500  2 B 2.08
Rh5 0.8265 0.1735 0.2500  2 B 2.08
Rh6 0.8265 0.6530 0.2500  2 B 2.08

Values from the calculation:
SG: P6_3/mmc
Magnetization in Bohr magnetons per cell: 0.0
Formation energy in eV/atom: -0.36



Record 3
## Nd4CuCCl2 (PBE)

Data for a relaxed Nd4CuCCl2 crystal.

a b c (Å): 7.1002 3.9070 7.2923
angles (deg): 90.00 107.43 90.00
Closest atoms and distances in Å follow each position.
Fractional coordinates of all 8 atoms:
Nd1 0.2097 0.0000 0.2018  2 C 2.62, 1 Cu 2.87
Nd2 0.2366 0.5000 0.7846  1 C 2.62, 2 Cu 2.83
Nd3 0.7634 0.5000 0.2154  1 C 2.62, 2 Cu 2.83
Nd4 0.7903 0.0000 0.7982  2 C 2.62, 1 Cu 2.87
Cu1 0.5000 0.0000 0.0000  6 Nd 2.83-2.87
C1 0.0000 0.5000 0.0000  6 Nd 2.62
Cl1 0.0000 0.0000 0.5000  6 Nd 2.98
Cl2 0.5000 0.5000 0.5000  6 Nd 3.18

Values from the calculation:
SG: P2/m
E_form (uncorrected) in eV/atom: -0.827
Magnetization in Bohr magnetons per cell: 0.0



Record 4
## V6Tc2Mo (PBE)

Data for a relaxed V6Tc2Mo crystal.

a b c (Å): 5.0082 5.0082 9.1044
angles (deg): 106.99 106.99 35.09
Closest atoms and distances in Å follow each position.
Fractional coordinates of all 9 atoms:
V1 0.0041 0.0041 0.3356  2 Tc 2.60, 6 V 2.60-2.65
V2 0.3339 0.3339 0.1134  2 Tc 2.60, 2 Mo 2.62, 4 V 2.65-2.66
V3 0.3352 0.3352 0.4442  2 Tc 2.59, 6 V 2.60-2.64
V4 0.6648 0.6648 0.5558  2 Tc 2.59, 6 V 2.60-2.64
V5 0.6661 0.6661 0.8866  2 Tc 2.60, 2 Mo 2.62, 4 V 2.65-2.66
V6 0.9959 0.9959 0.6644  2 Tc 2.60, 6 V 2.60-2.65
Tc1 0.3285 0.3285 0.7721  6 V 2.59-2.60, 2 Mo 2.68
Tc2 0.6715 0.6715 0.2279  6 V 2.59-2.60, 2 Mo 2.68
Mo1 0.0000 0.0000 0.0000  4 V 2.62, 4 Tc 2.68

Values from the calculation:
Relative energy among the computed polymorphs in meV per atom: 0
SG: C2/m
Magnetization in Bohr magnetons per cell: 0.0
Formation energy in eV/atom: -0.22



Record 5
## Sm2HoScSe4 (PBE)

Data for a relaxed Sm2HoScSe4 crystal.

a b c (Å): 6.9980 4.0178 7.1821
angles (deg): 90.00 108.81 90.00
Closest atoms and distances in Å follow each position.
Fractional coordinates of all 8 atoms:
Sm1 0.0000 0.0000 0.0000  6 Se 2.98
Sm2 0.5000 0.5000 0.0000  6 Se 2.93
Ho1 0.0000 0.5000 0.5000  6 Se 2.84
Sc1 0.5000 0.0000 0.5000  6 Se 2.78-2.79
Se1 0.2509 0.0000 0.7344  1 Sc 2.79, 2 Ho 2.84, 3 Sm 2.93-2.98
Se2 0.2629 0.5000 0.2700  2 Sc 2.78, 1 Ho 2.84, 3 Sm 2.93-2.98
Se3 0.7371 0.5000 0.7300  2 Sc 2.78, 1 Ho 2.84, 3 Sm 2.93-2.98
Se4 0.7491 0.0000 0.2656  1 Sc 2.79, 2 Ho 2.84, 3 Sm 2.93-2.98

Values from the calculation:
SG: P2/m
E_form (uncorrected) in eV/atom: -1.728
Magnetization in Bohr magnetons per cell: 0.0



Record 6
## Li4Y3HoSe8 (PBE)

Data for a relaxed Li4Y3HoSe8 crystal.

a b c (Å): 8.0224 8.0224 8.0224
angles (deg): 60.94 60.94 60.94
Closest atoms and distances in Å follow each position.
Fractional coordinates of all 16 atoms:
Li1 0.0000 0.0000 0.0000  6 Se 2.85
Li2 0.0000 0.5000 0.5000  6 Se 2.84
Li3 0.5000 0.0000 0.5000  6 Se 2.84
Li4 0.5000 0.5000 0.0000  6 Se 2.84
Y1 0.0000 0.0000 0.5000  6 Se 2.87
Y2 0.0000 0.5000 0.0000  6 Se 2.87
Y3 0.5000 0.0000 0.0000  6 Se 2.87
Ho1 0.5000 0.5000 0.5000  6 Se 2.86
Se1 0.2497 0.2497 0.7476  3 Li 2.84-2.85, 1 Ho 2.86, 2 Y 2.87
Se2 0.2497 0.7476 0.2497  3 Li 2.84-2.85, 1 Ho 2.86, 2 Y 2.87
Se3 0.2513 0.2513 0.2513  3 Li 2.84, 3 Y 2.87
Se4 0.2524 0.7503 0.7503  3 Li 2.84-2.85, 1 Ho 2.86, 2 Y 2.87
Se5 0.7476 0.2497 0.2497  3 Li 2.84-2.85, 1 Ho 2.86, 2 Y 2.87
Se6 0.7487 0.7487 0.7487  3 Li 2.84, 3 Y 2.87
Se7 0.7503 0.2524 0.7503  3 Li 2.84-2.85, 1 Ho 2.86, 2 Y 2.87
Se8 0.7503 0.7503 0.2524  3 Li 2.84-2.85, 1 Ho 2.86, 2 Y 2.87

Values from the calculation:
SG: R-3m
E_form (uncorrected) in eV/atom: -1.703
Magnetization in Bohr magnetons per cell: 0.0



Record 7
## TcAgSn4 (PBE)

Data for a relaxed TcAgSn4 crystal.

a b c (Å): 7.5262 7.5262 7.5262
angles (deg): 126.55 126.55 78.98
Closest atoms and distances in Å follow each position.
Fractional coordinates of all 12 atoms:
Tc1 0.2500 0.2500 0.0000  8 Sn 2.85, 2 Ag 2.90
Tc2 0.7500 0.7500 0.0000  8 Sn 2.85, 2 Ag 2.90
Ag1 0.0000 0.0000 0.0000  2 Tc 2.90, 8 Sn 3.03
Ag2 0.5000 0.5000 0.0000  2 Tc 2.90, 8 Sn 3.03
Sn1 0.0164 0.5164 0.8148  2 Tc 2.85, 2 Sn 3.01-3.09, 2 Ag 3.03
Sn2 0.2016 0.0164 0.5000  2 Tc 2.85, 2 Sn 3.01-3.09, 2 Ag 3.03
Sn3 0.2984 0.7984 0.8148  2 Tc 2.85, 2 Sn 3.01-3.09, 2 Ag 3.03
Sn4 0.4836 0.2984 0.5000  2 Tc 2.85, 2 Sn 3.01-3.09, 2 Ag 3.03
Sn5 0.5164 0.7016 0.5000  2 Tc 2.85, 2 Sn 3.01-3.09, 2 Ag 3.03
Sn6 0.7016 0.2016 0.1852  2 Tc 2.85, 2 Sn 3.01-3.09, 2 Ag 3.03
Sn7 0.7984 0.9836 0.5000  2 Tc 2.85, 2 Sn 3.01-3.09, 2 Ag 3.03
Sn8 0.9836 0.4836 0.1852  2 Tc 2.85, 2 Sn 3.01-3.09, 2 Ag 3.03

Values from the calculation:
SG: I4/mcm
Magnetization in Bohr magnetons per cell: 0.0
Formation energy in eV/atom: 0.00



Record 8
## CdTe2PN (PBE)

Data for a relaxed CdTe2PN crystal.

a b c (Å): 5.6688 5.6688 4.0737
angles (deg): 90.00 90.00 90.00
Closest atoms and distances in Å follow each position.
Fractional coordinates of all 5 atoms:
Cd1 0.0000 0.0000 0.0000  2 N 2.04
Te1 0.0000 0.5000 0.0000  2 Cd 2.83
Te2 0.5000 0.0000 0.0000  2 Cd 2.83
P1 0.5000 0.5000 0.5000  8 Te 3.49
N1 0.0000 0.0000 0.5000  2 Cd 2.04

Values from the calculation:
Relative energy among the computed polymorphs in meV per atom: 981
SG: P4/mmm
E_form (uncorrected) in eV/atom: 1.388
Magnetization in Bohr magnetons per cell: 1.7



Record 9
## TlGaIrO6 (PBE)

Data for a relaxed TlGaIrO6 crystal.

a b c (Å): 5.2323 5.2323 9.4728
angles (deg): 90.00 90.00 120.00
Closest atoms and distances in Å follow each position.
Fractional coordinates of all 18 atoms:
Tl1 0.0000 0.0000 0.0000  6 O 2.33
Tl2 0.0000 0.0000 0.5000  6 O 2.33
Ga1 0.3333 0.6667 0.2500  6 O 2.00
Ga2 0.6667 0.3333 0.7500  6 O 2.00
Ir1 0.3333 0.6667 0.7500  6 O 1.94
Ir2 0.6667 0.3333 0.2500  6 O 1.94
O1 0.0076 0.3736 0.6376  1 Ir 1.94, 1 Ga 2.00
O2 0.0076 0.6340 0.8624  1 Ir 1.94, 1 Ga 2.00
O3 0.3660 0.3736 0.8624  1 Ir 1.94, 1 Ga 2.00
O4 0.3660 0.9924 0.6376  1 Ir 1.94, 1 Ga 2.00
O5 0.3736 0.0076 0.1376  1 Ir 1.94, 1 Ga 2.00
O6 0.3736 0.3660 0.3624  1 Ir 1.94, 1 Ga 2.00
O7 0.6264 0.6340 0.6376  1 Ir 1.94, 1 Ga 2.00
O8 0.6264 0.9924 0.8624  1 Ir 1.94, 1 Ga 2.00
O9 0.6340 0.0076 0.3624  1 Ir 1.94, 1 Ga 2.00
O10 0.6340 0.6264 0.1376  1 Ir 1.94, 1 Ga 2.00
O11 0.9924 0.3660 0.1376  1 Ir 1.94, 1 Ga 2.00
O12 0.9924 0.6264 0.3624  1 Ir 1.94, 1 Ga 2.00

Values from the calculation:
SG: P-31c
E_form (uncorrected) in eV/atom: -0.916
Magnetization in Bohr magnetons per cell: 2.3



Record 10
## NaPuGa2 (PBE)

Data for a relaxed NaPuGa2 crystal.

a b c (Å): 5.0096 5.0096 5.0096
angles (deg): 60.00 60.00 60.00
Closest atoms and distances in Å follow each position.
Fractional coordinates of all 4 atoms:
Na1 0.0000 0.0000 0.0000  8 Ga 3.07
Pu1 0.5000 0.5000 0.5000  8 Ga 3.07
Ga1 0.2500 0.2500 0.2500  4 Pu 3.07, 4 Na 3.07
Ga2 0.7500 0.7500 0.7500  4 Pu 3.07, 4 Na 3.07

Values from the calculation:
Relative energy among the computed polymorphs in meV per atom: 23
SG: Fm-3m
Magnetization in Bohr magnetons per cell: 5.5
Formation energy in eV/atom: -0.11



Record 11
## KB2Mo (PBE)

Data for a relaxed KB2Mo crystal.

a b c (Å): 4.3061 4.3061 4.3061
angles (deg): 60.00 60.00 60.00
Closest atoms and distances in Å follow each position.
Fractional coordinates of all 4 atoms:
K1 0.0000 0.0000 0.0000  8 B 2.64
B1 0.2500 0.2500 0.2500  4 Mo 2.64, 4 K 2.64
B2 0.7500 0.7500 0.7500  4 Mo 2.64, 4 K 2.64
Mo1 0.5000 0.5000 0.5000  8 B 2.64

Values from the calculation:
Relative energy among the computed polymorphs in meV per atom: 1043
SG: Fm-3m
Magnetization in Bohr magnetons per cell: 0.0
Formation energy in eV/atom: 1.99



Record 12
## NaSr2Hg3 (PBE)

Data for a relaxed NaSr2Hg3 crystal.

a b c (Å): 10.3583 9.8536 6.5586
angles (deg): 75.29 66.94 37.77
Closest atoms and distances in Å follow each position.
Fractional coordinates of all 12 atoms:
Na1 0.1665 0.1665 0.8335  3 Hg 2.97-2.98
Na2 0.8335 0.8335 0.1665  3 Hg 2.97-2.98
Sr1 0.2500 0.2500 0.2500  8 Hg 3.60-3.61, 4 Na 3.61
Sr2 0.2534 0.7466 0.7466  10 Hg 3.60-3.62, 2 Na 3.63, 1 Sr 4.00
Sr3 0.7466 0.2534 0.2534  10 Hg 3.60-3.62, 2 Na 3.63, 1 Sr 4.00
Sr4 0.7500 0.7500 0.7500  8 Hg 3.60-3.61, 4 Na 3.61
Hg1 0.1658 0.6670 0.3330  1 Na 2.97, 2 Hg 2.99-3.00
Hg2 0.3324 0.3324 0.6676  1 Na 2.98, 2 Hg 2.99
Hg3 0.3330 0.8342 0.1658  1 Na 2.97, 2 Hg 2.99-3.00
Hg4 0.6670 0.1658 0.8342  1 Na 2.97, 2 Hg 2.99-3.00
Hg5 0.6676 0.6676 0.3324  1 Na 2.98, 2 Hg 2.99
Hg6 0.8342 0.3330 0.6670  1 Na 2.97, 2 Hg 2.99-3.00

Values from the calculation:
Relative energy among the computed polymorphs in meV per atom: 59
SG: Fmmm
Magnetization in Bohr magnetons per cell: 0.0
Formation energy in eV/atom: -0.36